# 1
Compound: K2MnSnTe
Source: Alexandria via LeMat-Bulk
Functional: PBE
Structure: relaxed

Unit cell a=6.454 b=6.454 c=6.088 alpha=90.00 beta=90.00 gamma=90.00
Element x y z (fractional)
K (0.000, 0.500, 0.000)
K (0.500, 0.000, 0.000)
Mn (0.000, 0.000, 0.500)
Sn (0.500, 0.500, 0.500)
Te (0.500, 0.500, 0.000)

Calculated values
As for the crystal system: tetragonal. The calculation puts the energy relative to the elements, uncorrected at 0.423 eV/atom.

=====

# 2
Compound: KYMn2Sn
Source: Alexandria via LeMat-Bulk
Functional: PBE
Structure: relaxed

Unit cell a=5.957 b=5.957 c=6.319 alpha=90.00 beta=90.00 gamma=90.00
Element x y z (fractional)
K (0.000, 0.000, 0.000)
Y (0.500, 0.500, 0.500)
Mn (0.000, 0.500, 0.500)
Mn (0.500, 0.000, 0.500)
Sn (0.500, 0.500, 0.000)

Calculated values
As for the crystal system: tetragonal. As for the calculated formation energy: 23.3 kcal/mol of atoms.